First-principles (PBE) data for an optimized crystal structure of MgIn12Ga6, as listed in Alexandria.

Values from the calculation:
The space group is R-3. Its crystal system is trigonal.

Geometry as POSCAR:
```
MgIn12Ga6
1.0
7.827 -0.132 -1.302
-1.515 7.680 -1.302
-0.111 -0.132 7.934
Mg In Ga
1 12 6
direct
0.000 0.000 0.000
0.350 0.074 0.337
0.074 0.337 0.350
0.337 0.350 0.074
0.650 0.926 0.663
0.926 0.663 0.650
0.663 0.650 0.926
0.154 0.062 0.667
0.333 0.846 0.938
0.938 0.333 0.846
0.846 0.938 0.333
0.667 0.154 0.062
0.062 0.667 0.154
0.270 0.474 0.725
0.526 0.275 0.730
0.275 0.730 0.526
0.730 0.526 0.275
0.474 0.725 0.270
0.725 0.270 0.474
```

First-principles (PBE) data for an optimized crystal structure of MgInGa, as listed in Alexandria.

Values from the calculation:
The space group is Cmcm. Its crystal system is orthorhombic.

Geometry as POSCAR:
```
MgInGa
1.0
9.740 0.000 0.000
0.000 5.482 0.000
0.000 0.000 5.249
Mg Ga In
4 4 4
direct
0.724 0.250 0.000
0.776 0.750 0.500
0.276 0.750 0.000
0.224 0.250 0.500
0.000 0.000 0.000
0.500 0.500 0.500
0.500 0.000 0.500
0.000 0.500 0.000
0.397 0.250 0.000
0.103 0.750 0.500
0.603 0.750 0.000
0.897 0.250 0.500
```

First-principles (PBE) data for an optimized crystal structure of Mg4InGa3, as listed in Alexandria.

Values from the calculation:
The space group is Pmn2_1. As for the energy above the most stable polymorph in this dataset: 54.9 meV/atom. Its crystal system is orthorhombic.

Geometry as POSCAR:
```
Mg4InGa3
1.0
-2.491 -5.006 -1.630
1.364 -2.282 4.925
-9.122 3.229 4.022
Mg In Ga
8 2 6
direct
0.108 0.931 0.000
0.391 0.432 0.000
0.135 0.323 0.256
0.635 0.677 0.244
0.891 0.568 0.500
0.608 0.069 0.500
0.635 0.677 0.756
0.135 0.323 0.744
0.890 0.434 0.000
0.390 0.566 0.500
0.599 0.914 0.000
0.128 0.824 0.283
0.628 0.176 0.217
0.099 0.086 0.500
0.628 0.176 0.783
0.128 0.824 0.717
```

First-principles (PBE) data for an optimized crystal structure of MgInGa, as listed in Alexandria.

Values from the calculation:
The space group is I4/mmm. Its crystal system is tetragonal.

Geometry as POSCAR:
```
MgInGa
1.0
-3.460 -0.850 -1.235
1.493 -1.667 -3.035
1.354 -7.531 7.144
Ga In Mg
2 2 2
direct
0.063 0.063 0.126
0.937 0.937 0.874
0.629 0.629 0.258
0.371 0.371 0.742
0.790 0.790 0.580
0.210 0.210 0.420
```

| no. | energy relative to the elements (meV/atom) | Fermi-level density of states (states/eV per atom) |
| --- | --- | --- |
| 1 | 40 | 0.365 |
| 2 | 52 | 0.338 |
| 3 | -51 | 0.448 |
| 4 | 37 | 0.309 |